(1)
# Tb4Y9Zn11

An optimized crystal structure of Tb4Y9Zn11 (PBE, the Alexandria database).

```
data_Tb4Y9Zn11
_cell_length_a 15.361
_cell_length_b 21.303
_cell_length_c 3.469
_cell_angle_alpha 90.00
_cell_angle_beta 90.00
_cell_angle_gamma 90.00
_space_group_name_H-M_alt 'C m m m'
_space_group_IT_number 65
_space_group_name_Hall '-C 2 2'
loop_
_atom_site_label
_atom_site_fract_x
_atom_site_fract_y
_atom_site_fract_z
Tb1 0.166 0.088 0.000
Y1 0.000 0.000 0.000
Y2 0.114 0.409 0.000
Y3 0.115 0.238 0.000
Zn1 0.000 0.132 0.500
Zn2 0.000 0.325 0.500
Zn3 0.000 0.500 0.500
Zn4 0.219 0.500 0.500
Zn5 0.235 0.319 0.500
```

Calculated values
ΔE_f   -255 meV/atom
Density of states at the Fermi level   51.63 states/eV/cell
VASP energy   -4.03 eV per atom
Total magnetization   0.0070 μB/atom

(2)
# Ac8Pr2Er3

An optimized crystal structure of Ac8Pr2Er3 (PBE, the Alexandria database).

```
data_Ac8Pr2Er3
_cell_length_a 6.661
_cell_length_b 6.684
_cell_length_c 12.085
_cell_angle_alpha 90.20
_cell_angle_beta 100.70
_cell_angle_gamma 99.62
_space_group_name_H-M_alt 'P -1'
_space_group_IT_number 2
loop_
_space_group_symop_operation_xyz
'x,y,z'
'-x,-y,-z'
loop_
_atom_site_label
_atom_site_fract_x
_atom_site_fract_y
_atom_site_fract_z
Ac1 0.043 0.413 0.148
Ac2 0.196 0.119 0.780
Ac3 0.343 0.806 0.381
Ac4 0.419 0.657 0.697
Pr1 0.113 0.267 0.463
Er1 0.277 0.960 0.073
Er2 0.500 0.500 0.000
```

Calculated values
ΔE_f   56 meV/atom
Density of states at the Fermi level   21.79 states/eV/cell
VASP energy   -4.26 eV per atom
Total magnetization   0.0000 μB/atom

(3)
# Ti20Al3Si9

An optimized crystal structure of Ti20Al3Si9 (PBE, the Alexandria database).

```
data_Ti20Al3Si9
_cell_length_a 7.520
_cell_length_b 5.160
_cell_length_c 13.038
_cell_angle_alpha 90.00
_cell_angle_beta 90.04
_cell_angle_gamma 90.00
_space_group_name_H-M_alt 'P 1 m 1'
_space_group_IT_number 6
loop_
_space_group_symop_operation_xyz
'x,y,z'
'x,-y,z'
loop_
_atom_site_label
_atom_site_fract_x
_atom_site_fract_y
_atom_site_fract_z
Ti1 0.000 0.000 0.000
Ti2 0.003 0.000 0.748
Ti3 0.120 0.500 0.873
Ti4 0.136 0.000 0.372
Ti5 0.252 0.500 0.498
Ti6 0.253 0.500 0.248
Ti7 0.373 0.253 0.704
Ti8 0.380 0.251 0.043
Ti9 0.495 0.000 0.494
Ti10 0.500 0.000 0.247
Ti11 0.620 0.500 0.373
Ti12 0.638 0.000 0.876
Ti13 0.752 0.500 0.999
Ti14 0.754 0.500 0.752
Ti15 0.881 0.251 0.204
Ti16 0.883 0.253 0.540
Al1 0.275 0.000 0.874
Al2 0.679 0.000 0.675
Al3 0.772 0.000 0.372
Si1 0.070 0.500 0.679
Si2 0.075 0.500 0.067
Si3 0.181 0.000 0.568
Si4 0.182 0.000 0.177
Si5 0.482 0.500 0.873
Si6 0.576 0.500 0.179
Si7 0.576 0.500 0.570
Si8 0.682 0.000 0.070
Si9 0.984 0.500 0.372
```

Calculated values
Density of states at the Fermi level   21.49 states/eV/cell
VASP energy   -7.45 eV per atom
ΔE_f (raw)   -0.64 eV per atom
Total magnetization   0.0000 μB/atom

(4)
# CsSiAgS3

An optimized crystal structure of CsSiAgS3 (PBE, the Alexandria database).

```
data_CsSiAgS3
_cell_length_a 13.279
_cell_length_b 7.269
_cell_length_c 8.671
_cell_angle_alpha 90.00
_cell_angle_beta 111.44
_cell_angle_gamma 90.00
_space_group_name_H-M_alt 'C 1 2/m 1'
_space_group_IT_number 12
loop_
_space_group_symop_operation_xyz
'x,y,z'
'-x,-y,-z'
'-x,y,-z'
'x,-y,z'
'x+1/2,y+1/2,z'
'-x+1/2,-y+1/2,-z'
'-x+1/2,y+1/2,-z'
'x+1/2,-y+1/2,z'
loop_
_atom_site_label
_atom_site_fract_x
_atom_site_fract_y
_atom_site_fract_z
Cs1 0.194 0.000 0.210
Si1 0.035 0.500 0.256
Ag1 0.000 0.241 0.500
S1 0.055 0.257 0.795
S2 0.197 0.500 0.327
```

Calculated values
Density of states at the Fermi level   0.00 states/eV/cell
VASP energy   -4.25 eV per atom
ΔE_f (raw)   -0.67 eV per atom
Total magnetization   0.0000 μB/atom

(5)
# InTe2NF

An optimized crystal structure of InTe2NF (PBE, the Alexandria database).

```
data_InTe2NF
_cell_length_a 4.836
_cell_length_b 4.836
_cell_length_c 5.235
_cell_angle_alpha 90.00
_cell_angle_beta 90.00
_cell_angle_gamma 90.00
_space_group_name_H-M_alt 'P 4/m m m'
_space_group_IT_number 123
_space_group_name_Hall '-P 4 2'
loop_
_atom_site_label
_atom_site_fract_x
_atom_site_fract_y
_atom_site_fract_z
In1 0.000 0.000 0.000
Te1 0.000 0.500 0.500
N1 0.500 0.500 0.000
F1 0.500 0.500 0.500
```

Calculated values
Density of states at the Fermi level   2.17 states/eV/cell
VASP energy   -3.11 eV per atom
ΔE_f (raw)   0.73 eV per atom
Energy above the most stable polymorph in this dataset   0.0 kJ per mole of atoms
Total magnetization   0.5617 μB/atom

(6)
# CaLa2P

An optimized crystal structure of CaLa2P (PBE, the Alexandria database).

```
data_CaLa2P
_cell_length_a 4.747
_cell_length_b 4.747
_cell_length_c 4.786
_cell_angle_alpha 90.00
_cell_angle_beta 90.00
_cell_angle_gamma 90.00
_space_group_name_H-M_alt 'P 4/m m m'
_space_group_IT_number 123
_space_group_name_Hall '-P 4 2'
loop_
_atom_site_label
_atom_site_fract_x
_atom_site_fract_y
_atom_site_fract_z
Ca1 0.000 0.000 0.000
La1 0.000 0.500 0.500
P1 0.500 0.500 0.000
```

Calculated values
ΔE_f   -376 meV/atom
Density of states at the Fermi level   5.10 states/eV/cell
VASP energy   -4.69 eV per atom
Total magnetization   0.0000 μB/atom

(7)
# Pr2InPb

An optimized crystal structure of Pr2InPb (PBE, the Alexandria database).

```
data_Pr2InPb
_cell_length_a 5.172
_cell_length_b 5.172
_cell_length_c 4.519
_cell_angle_alpha 90.00
_cell_angle_beta 90.00
_cell_angle_gamma 90.00
_space_group_name_H-M_alt 'P 4/m m m'
_space_group_IT_number 123
_space_group_name_Hall '-P 4 2'
loop_
_atom_site_label
_atom_site_fract_x
_atom_site_fract_y
_atom_site_fract_z
Pr1 0.000 0.500 0.000
In1 0.000 0.000 0.500
Pb1 0.500 0.500 0.500
```

Calculated values
ΔE_f   -506 meV/atom
Density of states at the Fermi level   3.55 states/eV/cell
VASP energy   -4.51 eV per atom
Total magnetization   0.0000 μB/atom

(8)
# Co2SiPb

An optimized crystal structure of Co2SiPb (PBE, the Alexandria database).

```
data_Co2SiPb
_cell_length_a 3.196
_cell_length_b 3.196
_cell_length_c 6.045
_cell_angle_alpha 90.00
_cell_angle_beta 90.00
_cell_angle_gamma 90.00
_space_group_name_H-M_alt 'P 4 m m'
_space_group_IT_number 99
loop_
_space_group_symop_operation_xyz
'x,y,z'
'-y,x,z'
'-x,-y,z'
'y,-x,z'
'-x,y,z'
'y,x,z'
'x,-y,z'
'-y,-x,z'
loop_
_atom_site_label
_atom_site_fract_x
_atom_site_fract_y
_atom_site_fract_z
Co1 0.000 0.000 0.000
Co2 0.500 0.500 0.283
Si1 0.500 0.500 0.915
Pb1 0.000 0.000 0.531
```

Calculated values
Density of states at the Fermi level   4.14 states/eV/cell
VASP energy   -5.59 eV per atom
ΔE_f (raw)   0.24 eV per atom
Energy above the most stable polymorph in this dataset   19.7 kJ per mole of atoms
Total magnetization   0.2442 μB/atom